Below is Cs2KAg after structural relaxation, with properties calculated at the PBE-GGA level.

Output
The calculation puts the raw total energy at -5.5 eV/cell. The calculation puts the excess energy over the best structure of this formula in the dataset at 0.0126 eV per atom. The value obtained for the formation energy from the elements is 0.031 eV/atom.

```
4
Lattice="-2.5302 -3.8845 -0.4144 3.7418 -2.2679 -1.5870 2.9324 -3.1239 11.3782" Properties=species:S:1:pos:R:3 pbc="T T T"
Cs 2.4120 -2.5696 9.3592
Cs 0.5203 -0.5543 2.0190
K 2.0720 -4.6381 4.6884
Ag 0.6058 -3.0762 -1.0007
```